1.
Density functional theory data (PBE) for a relaxed structure of HfAs2F.

The structure in POSCAR format:
```
HfAs2F
1.0
-2.705 0.042 -2.587
2.214 -1.900 -2.345
-3.795 -9.471 1.105
Hf As F
2 4 2
Direct
0.000 0.000 0.000 Hf
0.750 0.250 0.500 Hf
0.115 0.625 0.250 As
0.875 0.885 0.750 As
0.375 0.365 0.750 As
0.635 0.125 0.250 As
0.500 0.500 0.000 F
0.250 0.750 0.500 F
```

E_form (uncorrected) ... -0.714 eV per atom
E above lowest polymorph ... 0.0000 eV/atom

***

2.
Density functional theory data (PBE) for a relaxed structure of ZrReBr2.

The structure in POSCAR format:
```
ZrReBr2
1.0
5.829 -0.052 0.062
4.925 3.118 0.062
0.452 0.129 5.890
Re Br Zr
1 2 1
Direct
0.602 0.602 0.414 Re
0.726 0.726 0.745 Br
0.950 0.950 0.187 Br
0.221 0.221 0.153 Zr
```

E_form (uncorrected) ... 0.149 eV per atom
E above lowest polymorph ... 0.3821 eV/atom

***

3.
Density functional theory data (PBE) for a relaxed structure of LiPr2NdTl4.

The structure in POSCAR format:
```
LiPr2NdTl4
1.0
-5.132 1.493 -0.601
-3.131 0.664 4.322
-0.249 9.516 1.704
Pr Tl Li Nd
2 4 1 1
Direct
0.757 0.757 0.730 Pr
0.243 0.243 0.270 Pr
0.624 0.624 0.128 Tl
0.874 0.874 0.379 Tl
0.126 0.126 0.621 Tl
0.376 0.376 0.872 Tl
0.500 0.500 0.500 Li
0.000 0.000 0.000 Nd
```

Energy relative to the elements ... -0.356 eV/atom

***

4.
Density functional theory data (PBE) for a relaxed structure of CaGdGePb.

The structure in POSCAR format:
```
CaGdGePb
1.0
5.347 0.000 0.000
2.674 4.631 0.000
2.674 1.544 4.366
Ge Gd Pb Ca
1 1 1 1
Direct
0.250 0.250 0.250 Ge
0.000 0.000 0.000 Gd
0.750 0.750 0.750 Pb
0.500 0.500 0.500 Ca
```

Energy relative to the elements ... -0.459 eV/atom

***

5.
Density functional theory data (PBE) for a relaxed structure of Eu2ErSc.

The structure in POSCAR format:
```
Eu2ErSc
1.0
5.160 0.000 0.000
0.000 5.047 0.000
0.000 0.000 5.047
Er Eu Sc
1 2 1
Direct
0.500 0.500 0.500 Er
0.000 0.500 0.000 Eu
0.000 0.000 0.500 Eu
0.500 0.000 0.000 Sc
```

Energy relative to the elements ... 0.179 eV/atom
E above lowest polymorph ... 0.0027 eV/atom

***

6.
Density functional theory data (PBE) for a relaxed structure of Mg3TlI.

The structure in POSCAR format:
```
Mg3TlI
1.0
-4.771 1.690 2.015
-2.069 -4.988 -0.717
1.623 -1.393 5.010
Mg Tl I
3 1 1
Direct
0.000 0.500 0.000 Mg
0.000 0.000 0.500 Mg
0.500 0.000 0.000 Mg
0.000 0.000 0.000 Tl
0.500 0.500 0.500 I
```

E_form (uncorrected) ... -0.044 eV per atom
E above lowest polymorph ... 0.0000 eV/atom